Below is HfMg2VO6 after structural relaxation, with properties calculated at the PBE+U level.

Cell lengths 5.1790, 5.2057, 5.5428 Å; angles 62.14, 62.62, 60.42 degrees
Space group P1 (No. 1)
Unique sites:
Hf (0.0000, 0.0000, 0.0000)
Mg (0.2096, 0.2088, 0.3659)
Mg (0.7071, 0.7194, 0.8616)
V (0.5009, 0.5117, 0.4885)
O (0.1212, 0.7897, 0.6860)
O (0.2925, 0.6144, 0.2021)
O (0.3846, 0.1376, 0.6903)
O (0.6060, 0.8959, 0.1943)
O (0.7599, 0.4083, 0.6868)
O (0.8825, 0.3008, 0.1966)

Summary:
**ρ**: 5.663 Mg/m³
**DOS at the Fermi energy**: 0.000 states/eV/atom
**Total magnetization**: 1.00 μB per cell
**E**: -7.758 eV/atom